Here is MgAsRu2 at its PBEsol-relaxed geometry from Alexandria. Energies are from SCAN.

Lattice parameters (Å, degrees): 2.894 2.894 8.120 90.00 90.00 116.20
Element x y z (fractional)
Mg (0.000, 0.000, 0.000)
As (0.000, 0.000, 0.500)
Ru (0.500, 0.500, 0.276)
Ru (0.500, 0.500, 0.724)

As for the total energy: -23.572 eV per atom. As for the space-group type: Cmmm (65).

***

Here is CrRh3 at its PBEsol-relaxed geometry from Alexandria. Energies are from SCAN.

Lattice parameters (Å, degrees): 4.556 4.556 2.662 90.00 90.00 109.18
Element x y z (fractional)
Cr (0.000, 0.000, 0.000)
Rh (0.000, 0.500, 0.500)
Rh (0.500, 0.000, 0.500)
Rh (0.500, 0.500, 0.000)

As for the total energy: -30.063 eV per atom. As for the space-group type: Cmmm (65).

***

Here is Y4CdPd at its PBEsol-relaxed geometry from Alexandria. Energies are from SCAN.

Lattice parameters (Å, degrees): 9.552 9.552 9.552 60.00 60.00 60.00
Element x y z (fractional)
Y (0.185, 0.185, 0.815)
Y (0.185, 0.815, 0.185)
Y (0.185, 0.815, 0.815)
Y (0.396, 0.396, 0.396)
Y (0.396, 0.396, 0.813)
Y (0.396, 0.813, 0.396)
Y (0.560, 0.560, 0.940)
Y (0.560, 0.940, 0.560)
Y (0.560, 0.940, 0.940)
Y (0.813, 0.396, 0.396)
Y (0.815, 0.185, 0.185)
Y (0.815, 0.185, 0.815)
Y (0.815, 0.815, 0.185)
Y (0.940, 0.560, 0.560)
Y (0.940, 0.560, 0.940)
Y (0.940, 0.940, 0.560)
Cd (0.169, 0.169, 0.169)
Cd (0.169, 0.169, 0.494)
Cd (0.169, 0.494, 0.169)
Cd (0.494, 0.169, 0.169)
Pd (0.184, 0.605, 0.605)
Pd (0.605, 0.184, 0.605)
Pd (0.605, 0.605, 0.184)
Pd (0.605, 0.605, 0.605)

As for the total energy: -29.658 eV per atom. As for the space-group type: F-43m (216).

***

For the records above, the corresponding total moment values read 0.00, 2.12, 0.00 μB per formula unit.